Entry 1:
! Tb2DyZn3NiAu2, relaxed, DFT PBE; values from VASP
! Volume in Å³/cell: 180.27
! Crystal system: orthorhombic
! Space-group type: Amm2, No. 38
! Energy of formation from the pure elements in eV per atom: -0.6126
! Magnetic moment in μB/cell: 0.01
&SYSTEM
  ibrav = 0, nat = 9, ntyp = 5
/
ATOMIC_SPECIES
Tb 158.93 Tb.upf
Dy 162.50 Dy.upf
Zn 65.41 Zn.upf
Ni 58.69 Ni.upf
Au 196.97 Au.upf
CELL_PARAMETERS angstrom
3.929 0.000 0.000
0.000 6.303 3.640
0.000 -6.303 3.640
ATOMIC_POSITIONS angstrom
Tb 0.000 -3.812 3.640
Tb 0.000 3.812 3.640
Dy 0.000 0.000 2.965
Zn 1.964 0.000 0.244
Zn 1.964 -1.456 5.000
Zn 1.964 1.456 5.000
Ni 0.000 0.000 5.841
Au 1.964 -2.099 2.202
Au 1.964 2.099 2.202

Entry 2:
! ErLuPO, relaxed, DFT PBE; values from VASP
! Volume in Å³/cell: 150.38
! Crystal system: tetragonal
! Space-group type: P4/nmm, No. 129
! ΔE to the lowest computed polymorph in meV/atom: 131.9
! Magnetic moment in μB/cell: 0.01
&SYSTEM
  ibrav = 0, nat = 8, ntyp = 4
/
ATOMIC_SPECIES
Er 167.26 Er.upf
Lu 174.97 Lu.upf
P 30.97 P.upf
O 16.00 O.upf
CELL_PARAMETERS angstrom
4.259 0.000 0.000
0.000 4.259 0.000
0.000 0.000 8.292
ATOMIC_POSITIONS angstrom
Er 1.065 3.194 0.000
Er 3.194 1.065 0.000
Lu 1.065 1.065 3.347
Lu 3.194 3.194 4.945
P 1.065 1.065 6.627
P 3.194 3.194 1.665
O 1.065 3.194 4.146
O 3.194 1.065 4.146

Entry 3:
! LaTlHgO3, relaxed, DFT PBE; values from VASP
! Volume in Å³/cell: 235.71
! Crystal system: orthorhombic
! Space-group type: Cmcm, No. 63
! Calculated total energy in eV per atom: -5.3828
! Magnetic moment in μB/cell: 0.00
&SYSTEM
  ibrav = 0, nat = 12, ntyp = 4
/
ATOMIC_SPECIES
La 138.91 La.upf
Tl 204.38 Tl.upf
Hg 200.59 Hg.upf
O 16.00 O.upf
CELL_PARAMETERS angstrom
1.913 -6.696 0.000
1.913 6.696 0.000
0.000 0.000 9.200
ATOMIC_POSITIONS angstrom
La 0.000 0.000 0.000
La 0.000 0.000 4.600
Tl 1.913 2.314 6.900
Tl 1.913 -2.314 2.300
Hg 1.913 1.855 2.300
Hg 1.913 -1.855 6.900
O 1.913 5.999 2.300
O 1.913 1.501 0.276
O 1.913 1.501 4.324
O 1.913 -1.501 4.875
O 1.913 -1.501 8.924
O 1.913 -5.999 6.900

What is the volume in the second record? 150.38 Å³/cell